Compound: BeMo2Rh
Source: Alexandria
Functional: GGA-PBE
Structure: optimized geometry

The structure in POSCAR format:
```
BeMo2Rh
1.0
3.603 0.000 0.000
0.000 3.603 0.000
0.000 0.000 8.514
Be Mo Rh
2 4 2
Direct
0.000 0.000 0.000
0.500 0.500 0.500
0.000 0.500 0.250
0.000 0.500 0.750
0.500 0.000 0.250
0.500 0.000 0.750
0.000 0.000 0.500
0.500 0.500 0.000
```

Summary:
Formation enthalpy at 0 K: -0.07 eV/atom
Raw total energy: -8.255 eV per atom

---

Compound: Nb6BiSe12
Source: Alexandria
Functional: GGA-PBE
Structure: optimized geometry

The structure in POSCAR format:
```
Nb6BiSe12
1.0
6.269 3.619 2.943
-6.269 3.619 2.943
0.000 -7.238 2.943
Nb Bi Se
6 1 12
Direct
0.278 0.278 0.722
0.278 0.722 0.278
0.278 0.722 0.722
0.722 0.278 0.278
0.722 0.278 0.722
0.722 0.722 0.278
0.000 0.000 0.000
0.118 0.500 0.882
0.118 0.882 0.500
0.143 0.409 0.409
0.409 0.143 0.409
0.409 0.409 0.143
0.500 0.118 0.882
0.500 0.882 0.118
0.591 0.591 0.857
0.591 0.857 0.591
0.857 0.591 0.591
0.882 0.118 0.500
0.882 0.500 0.118
```

Summary:
Raw total energy: -5.957 eV per atom

---

Compound: NaZn5Au4
Source: Alexandria
Functional: GGA-PBE
Structure: optimized geometry

The structure in POSCAR format:
```
NaZn5Au4
1.0
8.071 0.000 0.000
0.000 9.688 0.000
0.000 0.000 4.670
Na Zn Au
2 10 8
Direct
0.250 0.250 0.089
0.750 0.750 0.911
0.080 0.507 0.738
0.080 0.993 0.738
0.250 0.750 0.828
0.420 0.507 0.738
0.420 0.993 0.738
0.580 0.007 0.262
0.580 0.493 0.262
0.750 0.250 0.172
0.920 0.007 0.262
0.920 0.493 0.262
0.009 0.750 0.433
0.250 0.548 0.216
0.250 0.952 0.216
0.491 0.750 0.433
0.509 0.250 0.567
0.750 0.048 0.784
0.750 0.452 0.784
0.991 0.250 0.567
```

Summary:
Formation enthalpy at 0 K: -0.17 eV/atom
Raw total energy: -2.255 eV per atom

---

Compound: InRhPb2
Source: Alexandria
Functional: GGA-PBE
Structure: optimized geometry

The structure in POSCAR format:
```
InRhPb2
1.0
3.386 0.000 0.000
0.000 3.386 0.000
0.000 0.000 8.511
In Rh Pb
1 1 2
Direct
0.000 0.000 0.000
0.000 0.000 0.500
0.500 0.500 0.300
0.500 0.500 0.700
```

Summary:
Formation enthalpy at 0 K: 0.01 eV/atom
Raw total energy: -4.368 eV per atom